A relaxed CuSiIr2 crystal. Source: the Alexandria database, functional PBE.

Cell and atoms, written as POSCAR:
```
CuSiIr2
1.0
-1.429 2.056 4.651
1.429 -2.056 4.651
1.429 2.056 -4.651
Cu Si Ir
1 1 2
Cartesian
0.000 0.000 0.000
1.429 0.000 2.045
0.000 0.000 3.960
0.000 2.056 1.828
```

- Volume: 13.66 A^3/atom
- ΔE_f (raw): -127 meV/atom